ZrTa3Nb3 after structural relaxation. Source: Alexandria via LeMat-Bulk, functional GGA-PBE.

Output
ΔH_f (0 K)	0.166	eV/atom
N(E_F)	1.264	states/eV per atom

abc: 5.4710 7.3166 7.4751
angles: 84.62 69.14 78.79
Element x y z (fractional)
Zr (0.2155, 0.2841, 0.4925)
Zr (0.7845, 0.7159, 0.5075)
Ta (0.0984, 0.2027, 0.9135)
Ta (0.2367, 0.4677, 0.1018)
Ta (0.4371, 0.8671, 0.8992)
Ta (0.5629, 0.1329, 0.1008)
Ta (0.7633, 0.5323, 0.8982)
Ta (0.9016, 0.7973, 0.0865)
Nb (0.0110, 0.9240, 0.7052)
Nb (0.3065, 0.5751, 0.7064)
Nb (0.3531, 0.7582, 0.2977)
Nb (0.6469, 0.2418, 0.7023)
Nb (0.6935, 0.4249, 0.2936)
Nb (0.9890, 0.0760, 0.2948)


ZrTa2Nb after structural relaxation. Source: Alexandria via LeMat-Bulk, functional GGA-PBE.

Output
ΔH_f (0 K)	0.119	eV/atom
N(E_F)	1.856	states/eV per atom

abc: 4.7860 4.7860 3.3628
angles: 90.00 90.00 90.00
Element x y z (fractional)
Zr (0.0000, 0.0000, 0.0000)
Ta (0.0000, 0.5000, 0.5000)
Ta (0.5000, 0.0000, 0.5000)
Nb (0.5000, 0.5000, 0.0000)


ZrTa4Nb after structural relaxation. Source: Alexandria via LeMat-Bulk, functional GGA-PBE.

Output
ΔH_f (0 K)	0.073	eV/atom
N(E_F)	1.660	states/eV per atom

abc: 4.7408 4.7408 5.8187
angles: 90.01 90.01 60.14
Element x y z (fractional)
Zr (0.0000, 0.0000, 0.0000)
Ta (0.3335, 0.3335, 0.3399)
Ta (0.3333, 0.3333, 0.8350)
Ta (0.6667, 0.6667, 0.1650)
Ta (0.6665, 0.6665, 0.6601)
Nb (0.0000, 0.0000, 0.5000)


ZrTa2Nb after structural relaxation. Source: Alexandria via LeMat-Bulk, functional GGA-PBE.

Output
ΔH_f (0 K)	0.073	eV/atom
N(E_F)	1.569	states/eV per atom

abc: 3.3541 3.3541 6.9148
angles: 90.00 90.00 90.00
Element x y z (fractional)
Zr (0.0000, 0.0000, 0.0000)
Ta (0.5000, 0.5000, 0.2746)
Ta (0.5000, 0.5000, 0.7254)
Nb (0.0000, 0.0000, 0.5000)


ZrTa5Nb6 after structural relaxation. Source: Alexandria via LeMat-Bulk, functional GGA-PBE.

Output
ΔH_f (0 K)	0.017	eV/atom
N(E_F)	1.644	states/eV per atom

abc: 8.1278 8.1278 4.7400
angles: 106.56 106.56 48.57
Element x y z (fractional)
Zr (0.0000, 0.0000, 0.0000)
Ta (0.1670, 0.1670, 0.6675)
Ta (0.3327, 0.3327, 0.3331)
Ta (0.5000, 0.5000, 0.0000)
Ta (0.6673, 0.6673, 0.6669)
Ta (0.8330, 0.8330, 0.3325)
Nb (0.0839, 0.5758, 0.8297)
Nb (0.2605, 0.7395, 0.5000)
Nb (0.4242, 0.9161, 0.1703)
Nb (0.5758, 0.0839, 0.8297)
Nb (0.7395, 0.2605, 0.5000)
Nb (0.9161, 0.4242, 0.1703)


TbNbTc2 after structural relaxation. Source: Alexandria via LeMat-Bulk, functional GGA-PBE.

Output
ΔH_f (0 K)	-0.078	eV/atom
N(E_F)	0.916	states/eV per atom

abc: 3.2731 3.2731 6.8025
angles: 90.00 90.00 90.00
Element x y z (fractional)
Tb (0.0000, 0.0000, 0.0000)
Nb (0.0000, 0.0000, 0.5000)
Tc (0.5000, 0.5000, 0.2794)
Tc (0.5000, 0.5000, 0.7206)


TbNbTe2 after structural relaxation. Source: Alexandria via LeMat-Bulk, functional GGA-PBE.

Output
uncorrected formation energy	-0.015	eV/atom
N(E_F)	0.929	states/eV per atom

abc: 9.6398 9.6398 9.6398
angles: 24.89 24.89 24.89
Element x y z (fractional)
Tb (0.0000, 0.0000, 0.0000)
Nb (0.5000, 0.5000, 0.5000)
Te (0.4007, 0.4007, 0.4007)
Te (0.5993, 0.5993, 0.5993)


TbNbTe after structural relaxation. Source: Alexandria via LeMat-Bulk, functional GGA-PBE.

Output
uncorrected formation energy	-0.503	eV/atom
N(E_F)	0.724	states/eV per atom

abc: 5.8890 5.8890 7.8886
angles: 108.84 108.84 37.36
Element x y z (fractional)
Tb (0.0960, 0.0960, 0.2538)
Tb (0.9040, 0.9040, 0.7462)
Nb (0.3504, 0.3504, 0.0517)
Nb (0.6496, 0.6496, 0.9483)
Te (0.1642, 0.1642, 0.6851)
Te (0.8358, 0.8358, 0.3149)